Below is an optimized crystal structure of Y2Se, with properties calculated at the PBE level.

Cell: 7.025 6.790 3.612 Å, 78.48 71.27 30.25°
Element x y z (fractional)
Y 0.646 0.646 0.354
Y 0.354 0.354 0.646
Se 0.000 0.000 0.000

Output
Its crystal system is orthorhombic. Its uncorrected formation energy is -0.986 eV per atom. The calculation puts the total magnetic moment at 0.000 μB per atom. For the total energy, the calculation gives -6.46 eV per atom.